Record 1
This record from Alexandria describes a relaxed structure of YPWS2. The functional is PBE.

It has space group P4/mmm (No. 123), with a = 4.6468 Å, b = 4.6468 Å, c = 4.8338 Å, α = 90.00°, β = 90.00° and γ = 90.00°. The asymmetric unit holds Y at (0.0000, 0.0000, 0.0000), P at (0.5000, 0.5000, 0.0000), W at (0.5000, 0.5000, 0.5000) and S at (0.0000, 0.5000, 0.5000).

The value obtained for the uncorrected formation energy is -37.7 kJ/mol of atoms. For the energy above the lowest structure with this stoichiometry, the calculation gives 0.000 eV per atom. As for the density of states at the Fermi level: 3.68 states/eV per cell.


Record 2
This record from Alexandria describes a relaxed structure of YP2WS. The functional is PBE.

It has space group P4/mmm (No. 123), with a = 4.7444 Å, b = 4.7444 Å, c = 4.6497 Å, α = 90.00°, β = 90.00° and γ = 90.00°. The asymmetric unit holds Y at (0.0000, 0.0000, 0.0000), P at (0.0000, 0.5000, 0.5000), W at (0.5000, 0.5000, 0.5000) and S at (0.5000, 0.5000, 0.0000).

The value obtained for the uncorrected formation energy is -23.1 kJ/mol of atoms. For the energy above the lowest structure with this stoichiometry, the calculation gives 0.000 eV per atom. As for the density of states at the Fermi level: 1.88 states/eV per cell.


Record 3
This record from Alexandria describes a relaxed structure of YPWS2. The functional is PBE.

It has space group P4/mmm (No. 123), with a = 5.0842 Å, b = 5.0842 Å, c = 5.2649 Å, α = 90.00°, β = 90.00° and γ = 90.00°. The asymmetric unit holds Y at (0.0000, 0.0000, 0.0000), P at (0.0000, 0.0000, 0.5000), W at (0.5000, 0.5000, 0.5000) and S at (0.0000, 0.5000, 0.0000).

The value obtained for the uncorrected formation energy is 96.5 kJ/mol of atoms. For the energy above the lowest structure with this stoichiometry, the calculation gives 1.391 eV per atom. As for the density of states at the Fermi level: 4.04 states/eV per cell.


Record 4
This record from Alexandria describes a relaxed structure of YP2WS. The functional is PBE.

It has space group P4/mmm (No. 123), with a = 5.1598 Å, b = 5.1598 Å, c = 5.0483 Å, α = 90.00°, β = 90.00° and γ = 90.00°. The asymmetric unit holds Y at (0.0000, 0.0000, 0.0000), P at (0.0000, 0.5000, 0.0000), W at (0.5000, 0.5000, 0.5000) and S at (0.0000, 0.0000, 0.5000).

The value obtained for the uncorrected formation energy is 128.9 kJ/mol of atoms. For the energy above the lowest structure with this stoichiometry, the calculation gives 1.575 eV per atom. As for the density of states at the Fermi level: 5.15 states/eV per cell.


Record 5
This record from Alexandria describes a relaxed structure of ZnPWS2. The functional is PBE.

It has space group P4/mmm (No. 123), with a = 4.6277 Å, b = 4.6277 Å, c = 4.9230 Å, α = 90.00°, β = 90.00° and γ = 90.00°. The asymmetric unit holds Zn at (0.0000, 0.0000, 0.0000), P at (0.5000, 0.5000, 0.0000), W at (0.5000, 0.5000, 0.5000) and S at (0.0000, 0.5000, 0.5000).

The value obtained for the uncorrected formation energy is 28.3 kJ/mol of atoms. For the energy above the lowest structure with this stoichiometry, the calculation gives 0.000 eV per atom. As for the density of states at the Fermi level: 3.80 states/eV per cell.


Record 6
This record from Alexandria describes a relaxed structure of ZnPWS2. The functional is PBE.

It has space group P4/mmm (No. 123), with a = 4.5578 Å, b = 4.5578 Å, c = 4.4970 Å, α = 90.00°, β = 90.00° and γ = 90.00°. The asymmetric unit holds Zn at (0.0000, 0.0000, 0.0000), P at (0.0000, 0.0000, 0.5000), W at (0.5000, 0.5000, 0.5000) and S at (0.0000, 0.5000, 0.0000).

The value obtained for the uncorrected formation energy is 125.7 kJ/mol of atoms. For the energy above the lowest structure with this stoichiometry, the calculation gives 1.010 eV per atom. As for the density of states at the Fermi level: 2.77 states/eV per cell.


Record 7
This record from Alexandria describes a relaxed structure of ZrP2WS. The functional is PBE.

It has space group P4/mmm (No. 123), with a = 4.9956 Å, b = 4.9956 Å, c = 4.8147 Å, α = 90.00°, β = 90.00° and γ = 90.00°. The asymmetric unit holds Zr at (0.0000, 0.0000, 0.0000), P at (0.0000, 0.5000, 0.0000), W at (0.5000, 0.5000, 0.5000) and S at (0.0000, 0.0000, 0.5000).

The value obtained for the uncorrected formation energy is 104.2 kJ/mol of atoms. For the energy above the lowest structure with this stoichiometry, the calculation gives 0.780 eV per atom. As for the density of states at the Fermi level: 3.81 states/eV per cell.


Record 8
This record from Alexandria describes a relaxed structure of ZrP2WS. The functional is PBE.

It has space group P4/mmm (No. 123), with a = 4.7105 Å, b = 4.7105 Å, c = 4.5731 Å, α = 90.00°, β = 90.00° and γ = 90.00°. The asymmetric unit holds Zr at (0.0000, 0.0000, 0.0000), P at (0.0000, 0.5000, 0.5000), W at (0.5000, 0.5000, 0.5000) and S at (0.5000, 0.5000, 0.0000).

The value obtained for the uncorrected formation energy is 28.9 kJ/mol of atoms. For the energy above the lowest structure with this stoichiometry, the calculation gives 0.000 eV per atom. As for the density of states at the Fermi level: 4.31 states/eV per cell.


Record 9
This record from Alexandria describes a relaxed structure of Y3PS2. The functional is PBE.

It has space group Immm (No. 71), with a = 3.9465 Å, b = 5.5733 Å, c = 11.9126 Å, α = 90.00°, β = 90.00° and γ = 90.00°. The asymmetric unit holds Y at (0.0000, 0.0000, 0.0000), Y at (0.0000, 0.0000, 0.3386), P at (0.0000, 0.5000, 0.0000) and S at (0.0000, 0.5000, 0.3322).

The value obtained for the uncorrected formation energy is -186.7 kJ/mol of atoms. As for the density of states at the Fermi level: 4.28 states/eV per cell.


Record 10
This record from Alexandria describes a relaxed structure of YPS2. The functional is PBE.

It has space group I-42d (No. 122), with a = 4.8989 Å, b = 4.8989 Å, c = 15.5287 Å, α = 90.00°, β = 90.00° and γ = 90.00°. The asymmetric unit holds Y at (0.0000, 0.0000, 0.0000), P at (0.0000, 0.0000, 0.5000) and S at (0.2134, 0.2500, 0.6250).

The value obtained for the uncorrected formation energy is -52.4 kJ/mol of atoms. As for the density of states at the Fermi level: 2.09 states/eV per cell.


Record 11
This record from Alexandria describes a relaxed structure of Y5PS5. The functional is PBE.

It has space group C2/m (No. 12), with a = 12.4559 Å, b = 5.5564 Å, c = 7.8642 Å, α = 90.00°, β = 108.46° and γ = 90.00°. The asymmetric unit holds Y at (0.0000, 0.0000, 0.0000), Y at (0.1595, 0.5000, 0.8266), Y at (0.1638, 0.5000, 0.3342), P at (0.0000, 0.5000, 0.0000), S at (0.0000, 0.5000, 0.5000), S at (0.1698, 0.0000, 0.3323) and S at (0.1714, 0.0000, 0.8397).

The value obtained for the uncorrected formation energy is -195.1 kJ/mol of atoms. As for the density of states at the Fermi level: 6.49 states/eV per cell.


Record 12
This record from Alexandria describes a relaxed structure of YPS2. The functional is PBE.

It has space group R-3m (No. 166, hexagonal axes), with a = 3.8685 Å, b = 3.8685 Å, c = 23.5530 Å, α = 90.00°, β = 90.00° and γ = 120.00°. The asymmetric unit holds Y at (0.0000, 0.0000, 0.0000), P at (0.0000, 0.0000, 0.5000) and S at (0.0000, 0.0000, 0.3993).

The value obtained for the uncorrected formation energy is -73.4 kJ/mol of atoms. As for the density of states at the Fermi level: 4.64 states/eV per cell.


Record 13
This record from Alexandria describes a relaxed structure of YPS. The functional is PBE.

It has space group Pnma (No. 62), with a = 7.0049 Å, b = 3.6663 Å, c = 9.2380 Å, α = 90.00°, β = 90.00° and γ = 90.00°. The asymmetric unit holds Y at (0.2070, 0.2500, 0.1606), P at (0.0894, 0.2500, 0.4620) and S at (0.0916, 0.2500, 0.8455).

The value obtained for the uncorrected formation energy is -145.4 kJ/mol of atoms. As for the density of states at the Fermi level: 0.94 states/eV per cell.


Record 14
This record from Alexandria describes a relaxed structure of Y4PS. The functional is PBE.

It has space group C2/m (No. 12), with a = 14.2440 Å, b = 3.8663 Å, c = 6.6792 Å, α = 90.00°, β = 117.77° and γ = 90.00°. The asymmetric unit holds Y at (0.1272, 0.0000, 0.4583), Y at (0.1278, 0.5000, 0.9624), P at (0.0000, 0.0000, 0.0000) and S at (0.0000, 0.5000, 0.5000).

The value obtained for the uncorrected formation energy is -112.3 kJ/mol of atoms. As for the density of states at the Fermi level: 14.37 states/eV per cell.


What did we get for uncorrected energy? Answer: -7.007; -7.112; -5.617; -5.537; -5.285; -4.276; -6.210; -6.990; -7.445; -5.576; -7.329; -5.793; -6.840; -7.063 eV per atom, in the order shown.